Compound: YHoNi2Pb
Source: OQMD
Functional: PBE
Structure: relaxed

Unit cell a=3.6895 b=3.9990 c=14.2803 alpha=90.00 beta=90.00 gamma=90.00
Space group Amm2 (No. 38)
Inequivalent atoms, fractional coordinates:
Y  0.0000  0.0000  0.0000
Ho  0.0000  0.0000  0.7208
Ni  0.5000  0.0000  0.1616
Ni  0.5000  0.0000  0.5628
Pb  0.5000  0.0000  0.3608

Uncorrected energy   -5.697 eV/atom
Crystal system   orthorhombic

***

Compound: Ho4NiPd3
Source: OQMD
Functional: PBE
Structure: relaxed

Unit cell a=5.5154 b=4.5036 c=6.9395 alpha=90.00 beta=90.56 gamma=90.00
Space group Pm (No. 6)
Inequivalent atoms, fractional coordinates:
Ho  0.0000  0.0000  0.0000
Ho  0.2173  0.0000  0.5099
Ho  0.4964  0.5000  0.1386
Ho  0.7252  0.5000  0.6446
Ni  0.2162  0.5000  0.7836
Pd  0.0105  0.5000  0.2797
Pd  0.5010  0.0000  0.8623
Pd  0.7065  0.0000  0.3648

E_form   -817.4 meV/atom
Uncorrected energy   -5.742 eV/atom
Crystal system   monoclinic

***

Compound: Ho2NiPd
Source: OQMD
Functional: PBE
Structure: relaxed

Unit cell a=4.4217 b=5.4375 c=6.9522 alpha=90.00 beta=90.00 gamma=90.00
Space group Pmc2_1 (No. 26)
Inequivalent atoms, fractional coordinates:
Ho  0.0000  0.1072  0.0000
Ho  0.5000  0.3830  0.6368
Ni  0.5000  0.1065  0.2753
Pd  0.0000  0.3933  0.3550

E_form   -695.7 meV/atom
Uncorrected energy   -5.670 eV/atom
Crystal system   orthorhombic

***

Compound: HoNi2Pd2
Source: OQMD
Functional: PBE
Structure: relaxed

Unit cell a=3.9950 b=3.9950 c=10.4987 alpha=90.00 beta=90.00 gamma=90.00
Space group P4/nmm (No. 129, origin choice 2)
Inequivalent atoms, fractional coordinates:
Ho  0.2500  0.2500  0.2471
Ni  0.2500  0.2500  0.8569
Ni  0.2500  0.7500  0.5000
Pd  0.2500  0.2500  0.6363
Pd  0.2500  0.7500  0.0000

E_form   -292.1 meV/atom
Uncorrected energy   -5.505 eV/atom
Crystal system   tetragonal
ΔE to the lowest computed polymorph   0.003 eV/atom

***

Compound: HoNi2Pd2
Source: OQMD
Functional: PBE
Structure: relaxed

Unit cell a=3.7060 b=3.7060 c=12.1204 alpha=90.00 beta=90.00 gamma=90.00
Space group I4/mmm (No. 139)
Inequivalent atoms, fractional coordinates:
Ho  0.0000  0.0000  0.0000
Ni  0.0000  0.5000  0.2500
Pd  0.0000  0.0000  0.3912

E_form   -294.6 meV/atom
Uncorrected energy   -5.507 eV/atom
Crystal system   tetragonal
ΔE to the lowest computed polymorph   0.000 eV/atom

***

Compound: Ho2NiPd
Source: OQMD
Functional: PBE
Structure: relaxed

Unit cell a=5.4490 b=4.4249 c=6.9248 alpha=90.00 beta=90.94 gamma=90.00
Space group P2_1/m (No. 11)
Inequivalent atoms, fractional coordinates:
Ho  0.1380  0.2500  0.3080
Ho  0.3592  0.2500  0.8270
Ni  0.1322  0.7500  0.0362
Pd  0.3457  0.7500  0.5434

E_form   -699.8 meV/atom
Uncorrected energy   -5.674 eV/atom
Crystal system   monoclinic